A plane-wave DFT calculation with GGA-PBE was carried out for CaScTi2Nb after structural relaxation.

a b c (Å): 5.0062 5.0062 4.8962
angles (deg): 90.00 90.00 90.00
Last column: nearest neighbours and their distance in Å.
Space group P4/mmm (No. 123)
Symmetry-distinct sites (fractional):
1 Ca 0.0000 0.0000 0.0000 x1  8 Ti 3.50, 4 Nb 3.54
2 Sc 0.5000 0.5000 0.5000 x1  2 Nb 2.45, 4 Ti 2.50
3 Ti 0.0000 0.5000 0.5000 x2  2 Sc 2.50
4 Nb 0.5000 0.5000 0.0000 x1  2 Sc 2.45

Summary:
- Total energy: -5.723 eV/atom
- Size of the total moment: 3.33 μB per cell
- V: 123 Å³/cell

=====

A plane-wave DFT calculation with GGA-PBE was carried out for V4AsH2 after structural relaxation.

a b c (Å): 4.4115 4.4115 9.1950
angles (deg): 90.00 90.00 90.00
Last column: nearest neighbours and their distance in Å.
Space group I4/mmm (No. 139)
Symmetry-distinct sites (fractional):
1 V 0.0000 0.0000 0.2416 x4  1 H 1.66
2 V 0.0000 0.5000 0.0000 x4  2 As 2.21, 4 H 2.28
3 As 0.0000 0.0000 0.5000 x2  6 V 2.21-2.38
4 H 0.0000 0.0000 0.0612 x4  1 H 1.13

Summary:
- Offset from the most stable computed form: 847 meV per atom
- Size of the total moment: 0.00 μB per cell
- V: 179 Å³/cell

=====

A plane-wave DFT calculation with GGA-PBE was carried out for Y7Cd6 after structural relaxation.

a b c (Å): 6.5448 6.5448 31.1204
angles (deg): 90.00 90.00 120.00
Last column: nearest neighbours and their distance in Å.
Space group R-3m (No. 166, hexagonal axes)
Symmetry-distinct sites (fractional):
1 Y 0.0000 0.0000 0.0000 x3  6 Y 3.24
2 Y 0.0053 0.5027 0.4171 x18  5 Cd 3.19-3.51, 5 Y 3.22-3.32
3 Cd 0.0000 0.0000 0.1662 x6  6 Y 3.19-3.21
4 Cd 0.0000 0.0000 0.3451 x6  1 Cd 3.16, 3 Y 3.51
5 Cd 0.0000 0.0000 0.4467 x6  2 Cd 3.16-3.32, 6 Y 3.40

Summary:
- Total energy: -3.786 eV/atom
- Size of the total moment: 0.00 μB per cell
- V: 1154 Å³/cell

=====

A plane-wave DFT calculation with GGA-PBE was carried out for MgScHRh2 after structural relaxation.

a b c (Å): 4.2076 4.2076 3.7426
angles (deg): 90.00 90.00 90.00
Last column: nearest neighbours and their distance in Å.
Space group P4/mmm (No. 123)
Symmetry-distinct sites (fractional):
1 Mg 0.0000 0.0000 0.0000 x1  2 H 1.87
2 Sc 0.5000 0.5000 0.0000 x1  8 Rh 2.82, 4 Mg 2.98
3 H 0.0000 0.0000 0.5000 x1  2 Mg 1.87
4 Rh 0.0000 0.5000 0.5000 x2  2 H 2.10

Summary:
- Offset from the most stable computed form: 24 meV per atom
- Size of the total moment: 0.00 μB per cell
- V: 66 Å³/cell